Entry 1:
The following is a DFT calculation (GGA-PBE) of crystalline Pr4Nd10Mg at its relaxed geometry.

Computed properties:
energy relative to the elements = 0.304 eV/atom
crystal system = tetragonal
M_tot = 0.00 μB per atom
DOS at the Fermi energy = 23.13 states/eV/f.u.

Unit cell a=10.688 b=8.908 c=8.908 alpha=68.90 beta=53.13 gamma=53.13
Element x y z (fractional)
Nd  0.225  0.323  0.904
Nd  0.549  0.323  0.904
Nd  0.129  0.096  0.323
Nd  0.750  0.500  0.500
Nd  0.547  0.904  0.677
Nd  0.453  0.096  0.323
Pr  0.323  0.738  0.615
Pr  0.938  0.385  0.738
Nd  0.250  0.500  0.500
Nd  0.775  0.677  0.096
Nd  0.871  0.904  0.677
Mg  0.000  0.000  0.000
Pr  0.062  0.615  0.262
Pr  0.677  0.262  0.385
Nd  0.451  0.677  0.096



Entry 2:
The following is a DFT calculation (GGA-PBE) of crystalline NdErCd at its relaxed geometry.

Computed properties:
energy relative to the elements = 0.095 eV/atom
crystal system = tetragonal
distance to the lowest polymorph of the same formula = 288 meV per atom
M_tot = 0.00 μB per atom
DOS at the Fermi energy = 4.89 states/eV/f.u.

Unit cell a=5.203 b=5.202 c=5.202 alpha=60.07 beta=60.00 gamma=60.00
Element x y z (fractional)
Er  0.250  0.250  0.250
Cd  0.000  0.000  0.000
Nd  0.750  0.750  0.750



Entry 3:
The following is a DFT calculation (GGA-PBE) of crystalline Al4Fe5W at its relaxed geometry.

Computed properties:
energy relative to the elements = -0.268 eV/atom
crystal system = tetragonal
M_tot = 0.15 μB per atom
DOS at the Fermi energy = 10.07 states/eV/f.u.

Unit cell a=2.904 b=2.904 c=14.423 alpha=90.00 beta=90.00 gamma=90.00
Element x y z (fractional)
Fe  0.500  0.500  0.696
W  0.000  0.000  0.000
Al  0.000  0.000  0.208
Al  0.000  0.000  0.792
Fe  0.500  0.500  0.103
Al  0.000  0.000  0.599
Fe  0.500  0.500  0.897
Fe  0.500  0.500  0.500
Al  0.000  0.000  0.401
Fe  0.500  0.500  0.304



Entry 4:
The following is a DFT calculation (GGA-PBE) of crystalline TaCrAg2 at its relaxed geometry.

Computed properties:
energy relative to the elements = 0.634 eV/atom
crystal system = tetragonal
distance to the lowest polymorph of the same formula = 326 meV per atom
M_tot = 0.92 μB per atom
DOS at the Fermi energy = 3.37 states/eV/f.u.

Unit cell a=4.893 b=4.893 c=2.956 alpha=90.00 beta=90.00 gamma=90.00
Element x y z (fractional)
Ag  0.000  0.000  0.000
Ta  0.000  0.500  0.500
Cr  0.500  0.000  0.500
Ag  0.500  0.500  0.000